# 1
A plane-wave DFT calculation with PBE-GGA was carried out for crystalline CaAlSi2Rh at its relaxed geometry.

a = 4.008 Å, b = 4.008 Å, c = 10.687 Å
α = 90.00°, β = 90.00°, γ = 90.00°
Space group I-4m2 (No. 119)
Unique sites:
Ca: 0.000 0.000 0.000 (multiplicity 2)
Al: 0.000 0.500 0.250 (multiplicity 2)
Si: 0.000 0.000 0.388 (multiplicity 4)
Rh: 0.000 0.500 0.750 (multiplicity 2)

## Properties
Mass density (g/cm3): 4.4
Total DFT energy (no corrections) (eV per atom): -5.467
N(E_F) (states/eV/cell): 3.80
Uncorrected formation energy (eV per atom): -0.678
Size of the total moment (μB per atom): 0.000

---

# 2
A plane-wave DFT calculation with PBE-GGA was carried out for crystalline CeMg2Cu at its relaxed geometry.

a = 3.062 Å, b = 3.062 Å, c = 8.749 Å
α = 90.00°, β = 90.00°, γ = 90.00°
Space group P4/mmm (No. 123)
Unique sites:
Ce: 0.000 0.000 0.000 (multiplicity 1)
Mg: 0.500 0.500 0.308 (multiplicity 2)
Cu: 0.000 0.000 0.500 (multiplicity 1)

## Properties
Mass density (g/cm3): 5.1
Total DFT energy (no corrections) (eV per atom): -3.338
N(E_F) (states/eV/cell): 5.31
DFT formation energy (eV per atom): -0.03
Size of the total moment (μB per atom): 0.100

---

# 3
A plane-wave DFT calculation with PBE-GGA was carried out for crystalline Cs2Ta4Ir at its relaxed geometry.

a = 4.980 Å, b = 4.980 Å, c = 21.325 Å
α = 90.00°, β = 90.00°, γ = 90.00°
Space group I4/mmm (No. 139)
Unique sites:
Cs: 0.000 0.000 0.171 (multiplicity 4)
Ta: 0.000 0.000 0.391 (multiplicity 4)
Ta: 0.000 0.500 0.000 (multiplicity 4)
Ir: 0.000 0.000 0.500 (multiplicity 2)

## Properties
Mass density (g/cm3): 7.4
Total DFT energy (no corrections) (eV per atom): -6.517
N(E_F) (states/eV/cell): 15.19
DFT formation energy (eV per atom): 1.77
Size of the total moment (μB per atom): 0.380

---

# 4
A plane-wave DFT calculation with PBE-GGA was carried out for crystalline TmRe2SiC at its relaxed geometry.

a = 3.913 Å, b = 10.886 Å, c = 7.298 Å
α = 90.00°, β = 90.00°, γ = 90.00°
Space group Cmcm (No. 63)
Unique sites:
Tm: 0.000 0.042 0.250 (multiplicity 4)
Re: 0.000 0.326 0.060 (multiplicity 8)
Si: 0.000 0.236 0.750 (multiplicity 4)
C: 0.000 0.500 0.000 (multiplicity 4)

## Properties
Mass density (g/cm3): 12.4
Total DFT energy (no corrections) (eV per atom): -9.246
N(E_F) (states/eV/cell): 8.68
Uncorrected formation energy (eV per atom): -0.443
Size of the total moment (μB per atom): 0.000

---

# 5
A plane-wave DFT calculation with PBE-GGA was carried out for crystalline YMgBe2Cu at its relaxed geometry.

a = 4.384 Å, b = 4.384 Å, c = 4.948 Å
α = 90.00°, β = 90.00°, γ = 90.00°
Space group P4/mmm (No. 123)
Unique sites:
Y: 0.000 0.000 0.000 (multiplicity 1)
Mg: 0.500 0.500 0.000 (multiplicity 1)
Be: 0.000 0.500 0.500 (multiplicity 2)
Cu: 0.000 0.000 0.500 (multiplicity 1)

## Properties
Mass density (g/cm3): 3.4
Total DFT energy (no corrections) (eV per atom): -3.485
N(E_F) (states/eV/cell): 2.40
DFT formation energy (eV per atom): 0.44
Size of the total moment (μB per atom): 0.000

---

# 6
A plane-wave DFT calculation with PBE-GGA was carried out for crystalline BaCa2LaPd at its relaxed geometry.

a = 5.730 Å, b = 5.730 Å, c = 6.079 Å
α = 90.00°, β = 90.00°, γ = 90.00°
Space group P4/mmm (No. 123)
Unique sites:
Ba: 0.000 0.000 0.000 (multiplicity 1)
Ca: 0.000 0.500 0.500 (multiplicity 2)
La: 0.500 0.500 0.000 (multiplicity 1)
Pd: 0.000 0.000 0.500 (multiplicity 1)

## Properties
Mass density (g/cm3): 3.9
Total DFT energy (no corrections) (eV per atom): -3.300
N(E_F) (states/eV/cell): 7.15
DFT formation energy (eV per atom): -0.09
Polymorph energy (0 for the lowest one) (eV per formula unit): 1.03
Size of the total moment (μB per atom): 0.064

---

# 7
A plane-wave DFT calculation with PBE-GGA was carried out for crystalline CeDy4Ho7 at its relaxed geometry.

a = 11.933 Å, b = 5.795 Å, c = 12.634 Å
α = 90.00°, β = 117.49°, γ = 90.00°
Space group C2/m (No. 12)
Unique sites:
Ce: 0.000 0.000 0.000 (multiplicity 2)
Dy: 0.132 0.500 0.775 (multiplicity 4)
Dy: 0.249 0.500 0.314 (multiplicity 4)
Ho: 0.000 0.500 0.000 (multiplicity 2)
Ho: 0.060 0.000 0.328 (multiplicity 4)
Ho: 0.135 0.500 0.503 (multiplicity 4)
Ho: 0.206 0.000 0.924 (multiplicity 4)

## Properties
Mass density (g/cm3): 8.3
Total DFT energy (no corrections) (eV per atom): -4.414
N(E_F) (states/eV/cell): 46.99
DFT formation energy (eV per atom): 0.28
Polymorph energy (0 for the lowest one) (eV per formula unit): 1.62
Size of the total moment (μB per atom): 0.075

---

# 8
A plane-wave DFT calculation with PBE-GGA was carried out for crystalline Pm9ErAl2 at its relaxed geometry.

a = 4.919 Å, b = 4.919 Å, c = 15.042 Å
α = 90.00°, β = 90.00°, γ = 90.00°
Space group P4/mmm (No. 123)
Unique sites:
Pm: 0.000 0.000 0.000 (multiplicity 1)
Pm: 0.000 0.000 0.339 (multiplicity 2)
Pm: 0.000 0.500 0.177 (multiplicity 4)
Pm: 0.000 0.500 0.500 (multiplicity 2)
Er: 0.500 0.500 0.000 (multiplicity 1)
Al: 0.500 0.500 0.340 (multiplicity 2)

## Properties
Mass density (g/cm3): 7.0
Total DFT energy (no corrections) (eV per atom): -4.667
N(E_F) (states/eV/cell): 14.35
DFT formation energy (eV per atom): -0.10
Size of the total moment (μB per atom): 0.000

---

# 9
A plane-wave DFT calculation with PBE-GGA was carried out for crystalline YSn2P at its relaxed geometry.

a = 7.354 Å, b = 7.354 Å, c = 7.354 Å
α = 90.00°, β = 90.00°, γ = 90.00°
Space group Fm-3m (No. 225)
Unique sites:
Y: 0.000 0.000 0.000 (multiplicity 4)
Sn: 0.250 0.250 0.250 (multiplicity 8)
P: 0.000 0.000 0.500 (multiplicity 4)

## Properties
Mass density (g/cm3): 6.0
Total DFT energy (no corrections) (eV per atom): -4.892
N(E_F) (states/eV/cell): 13.68
DFT formation energy (eV per atom): 0.08
Polymorph energy (0 for the lowest one) (eV per formula unit): 1.30
Size of the total moment (μB per atom): 0.000

---

# 10
A plane-wave DFT calculation with PBE-GGA was carried out for crystalline La4Tl3Ge at its relaxed geometry.

a = 4.004 Å, b = 4.004 Å, c = 15.062 Å
α = 90.00°, β = 90.00°, γ = 90.00°
Space group P4/mmm (No. 123)
Unique sites:
La: 0.000 0.000 0.102 (multiplicity 2)
La: 0.000 0.000 0.368 (multiplicity 2)
Tl: 0.500 0.500 0.239 (multiplicity 2)
Tl: 0.500 0.500 0.500 (multiplicity 1)
Ge: 0.500 0.500 0.000 (multiplicity 1)

## Properties
Mass density (g/cm3): 8.5
Total DFT energy (no corrections) (eV per atom): -4.435
N(E_F) (states/eV/cell): 6.55
DFT formation energy (eV per atom): -0.51
Size of the total moment (μB per atom): 0.000

---

# 11
A plane-wave DFT calculation with PBE-GGA was carried out for crystalline Sm3Cu2Au at its relaxed geometry.

a = 5.0916 Å, b = 5.0916 Å, c = 6.2439 Å
α = 90.00°, β = 90.00°, γ = 120.00°
Space group P-3m1 (No. 164)
Unique sites:
Sm: 0.0000 0.0000 0.0000 (multiplicity 1)
Sm: 0.3333 0.6667 0.6709 (multiplicity 2)
Cu: 0.3333 0.6667 0.1502 (multiplicity 2)
Au: 0.0000 0.0000 0.5000 (multiplicity 1)

## Properties
Mass density (g/cm3): 9.2
Total DFT energy (no corrections) (eV per atom): -4.654
N(E_F) (states/eV/cell): 4.29
DFT formation energy (eV per atom): -0.38
Polymorph energy (0 for the lowest one) (eV per formula unit): 0.01
Size of the total moment (μB per atom): 0.000

---

# 12
A plane-wave DFT calculation with PBE-GGA was carried out for crystalline CsLiHg2Cl6 at its relaxed geometry.

a = 6.537 Å, b = 7.428 Å, c = 8.716 Å
α = 100.07°, β = 101.42°, γ = 114.86°
Space group P1 (No. 1)
Unique sites:
Cs: 0.000 0.000 0.000 (multiplicity 1)
Li: 0.101 0.526 0.576 (multiplicity 1)
Hg: 0.373 0.200 0.519 (multiplicity 1)
Hg: 0.622 0.773 0.473 (multiplicity 1)
Cl: 0.176 0.277 0.710 (multiplicity 1)
Cl: 0.198 0.428 0.333 (multiplicity 1)
Cl: 0.467 0.879 0.690 (multiplicity 1)
Cl: 0.509 0.067 0.312 (multiplicity 1)
Cl: 0.809 0.563 0.677 (multiplicity 1)
Cl: 0.886 0.780 0.316 (multiplicity 1)

## Properties
Mass density (g/cm3): 3.5
Total DFT energy (no corrections) (eV per atom): -2.568
N(E_F) (states/eV/cell): 0.00
Uncorrected formation energy (eV per atom): -1.123
Size of the total moment (μB per atom): 0.000

---

# 13
A plane-wave DFT calculation with PBE-GGA was carried out for crystalline SmHo4Os2 at its relaxed geometry.

a = 7.761 Å, b = 6.315 Å, c = 7.959 Å
α = 90.00°, β = 112.35°, γ = 90.00°
Space group P2_1/m (No. 11)
Unique sites:
Sm: 0.023 0.250 0.161 (multiplicity 2)
Ho: 0.242 0.501 0.581 (multiplicity 4)
Ho: 0.326 0.750 0.253 (multiplicity 2)
Ho: 0.381 0.250 0.020 (multiplicity 2)
Os: 0.026 0.250 0.740 (multiplicity 2)
Os: 0.415 0.250 0.375 (multiplicity 2)

## Properties
Mass density (g/cm3): 11.0
Total DFT energy (no corrections) (eV per atom): -6.677
N(E_F) (states/eV/cell): 11.91
DFT formation energy (eV per atom): -0.18
Size of the total moment (μB per atom): 0.000

---

# 14
A plane-wave DFT calculation with PBE-GGA was carried out for crystalline LaTb4Tm4 at its relaxed geometry.

a = 10.672 Å, b = 10.672 Å, c = 5.003 Å
α = 90.00°, β = 90.00°, γ = 90.00°
Space group I4/mmm (No. 139)
Unique sites:
La: 0.000 0.000 0.000 (multiplicity 2)
Tb: 0.000 0.334 0.000 (multiplicity 8)
Tm: 0.169 0.169 0.500 (multiplicity 8)

## Properties
Mass density (g/cm3): 8.5
Total DFT energy (no corrections) (eV per atom): -4.565
N(E_F) (states/eV/cell): 26.06
DFT formation energy (eV per atom): 0.03
Polymorph energy (0 for the lowest one) (eV per formula unit): 0.00
Size of the total moment (μB per atom): 0.000

---

# 15
A plane-wave DFT calculation with PBE-GGA was carried out for crystalline AlCr at its relaxed geometry.

a = 2.6797 Å, b = 2.6797 Å, c = 8.5590 Å
α = 90.00°, β = 90.00°, γ = 120.00°
Space group P6_3/mmc (No. 194)
Unique sites:
Al: 0.0000 0.0000 0.0000 (multiplicity 2)
Cr: 0.3333 0.6667 0.2500 (multiplicity 2)

## Properties
Mass density (g/cm3): 4.9
Total DFT energy (no corrections) (eV per atom): -6.582
N(E_F) (states/eV/cell): 3.93
DFT formation energy (eV per atom): 0.10
Size of the total moment (μB per atom): 0.128

---

# 16
A plane-wave DFT calculation with PBE-GGA was carried out for crystalline YTmGe2 at its relaxed geometry.

a = 3.946 Å, b = 5.753 Å, c = 7.895 Å
α = 90.00°, β = 90.00°, γ = 90.00°
Space group Pmc2_1 (No. 26)
Unique sites:
Y: 0.000 0.131 0.000 (multiplicity 2)
Tm: 0.500 0.370 0.638 (multiplicity 2)
Ge: 0.000 0.396 0.361 (multiplicity 2)
Ge: 0.500 0.104 0.278 (multiplicity 2)

## Properties
Mass density (g/cm3): 7.5
Total DFT energy (no corrections) (eV per atom): -5.903
N(E_F) (states/eV/cell): 4.82
DFT formation energy (eV per atom): -0.86
Polymorph energy (0 for the lowest one) (eV per formula unit): 0.02
Size of the total moment (μB per atom): 0.000

---

# 17
A plane-wave DFT calculation with PBE-GGA was carried out for crystalline ScCdFe2 at its relaxed geometry.

a = 3.101 Å, b = 3.101 Å, c = 6.865 Å
α = 90.00°, β = 90.00°, γ = 90.00°
Space group P4mm (No. 99)
Unique sites:
Sc: 0.000 0.000 0.000 (multiplicity 1)
Cd: 0.500 0.500 0.329 (multiplicity 1)
Fe: 0.000 0.000 0.588 (multiplicity 1)
Fe: 0.500 0.500 0.754 (multiplicity 1)

## Properties
Mass density (g/cm3): 6.8
Total DFT energy (no corrections) (eV per atom): -6.042
N(E_F) (states/eV/cell): 3.32
DFT formation energy (eV per atom): 0.00
Size of the total moment (μB per atom): 1.116

---

# 18
A plane-wave DFT calculation with PBE-GGA was carried out for crystalline CaTc2Hg at its relaxed geometry.

a = 4.2282 Å, b = 4.2282 Å, c = 17.3744 Å
α = 90.00°, β = 90.00°, γ = 120.00°
Space group R3m (No. 160, hexagonal axes)
Unique sites:
Ca: 0.0000 0.0000 0.0000 (multiplicity 3)
Tc: 0.0000 0.0000 0.2031 (multiplicity 3)
Tc: 0.0000 0.0000 0.5489 (multiplicity 3)
Hg: 0.0000 0.0000 0.7798 (multiplicity 3)

## Properties
Mass density (g/cm3): 8.1
Total DFT energy (no corrections) (eV per atom): -5.542
N(E_F) (states/eV/cell): 3.90
DFT formation energy (eV per atom): 0.22
Size of the total moment (μB per atom): 0.000

---

# 19
A plane-wave DFT calculation with PBE-GGA was carried out for crystalline LaSmDy2In4 at its relaxed geometry.

a = 5.4094 Å, b = 5.4094 Å, c = 26.5727 Å
α = 90.00°, β = 90.00°, γ = 120.00°
Space group R-3m (No. 166, hexagonal axes)
Unique sites:
La: 0.0000 0.0000 0.0000 (multiplicity 3)
Sm: 0.0000 0.0000 0.5000 (multiplicity 3)
Dy: 0.0000 0.0000 0.2499 (multiplicity 6)
In: 0.0000 0.0000 0.1264 (multiplicity 6)
In: 0.0000 0.0000 0.3764 (multiplicity 6)

## Properties
Mass density (g/cm3): 7.9
Total DFT energy (no corrections) (eV per atom): -4.206
N(E_F) (states/eV/cell): 12.12
DFT formation energy (eV per atom): -0.48
Size of the total moment (μB per atom): 0.000

---

# 20
A plane-wave DFT calculation with PBE-GGA was carried out for crystalline In2SbF at its relaxed geometry.

a = 4.8365 Å, b = 4.8365 Å, c = 20.9748 Å
α = 90.00°, β = 90.00°, γ = 120.00°
Space group R-3m (No. 166, hexagonal axes)
Unique sites:
In: 0.0000 0.0000 0.1049 (multiplicity 6)
Sb: 0.0000 0.0000 0.5000 (multiplicity 3)
F: 0.0000 0.0000 0.0000 (multiplicity 3)

## Properties
Mass density (g/cm3): 4.3
Total DFT energy (no corrections) (eV per atom): -3.631
N(E_F) (states/eV/cell): 2.16
Uncorrected formation energy (eV per atom): -0.763
Polymorph energy (0 for the lowest one) (eV per formula unit): 0.00
Size of the total moment (μB per atom): 0.000